Record 1
Entry from Alexandria: a PBEsol-optimized structure of ScSiPS2 (SCAN).

Cell lengths 4.4631, 4.4631, 4.4969 Å; angles 90.00, 90.00, 90.00 degrees
Last column: nearest neighbours and their distance in Å.
Sites, in units of the cell vectors:
1 Sc 0.0000 0.0000 0.0000  4 P 3.16, 8 S 3.17
2 Si 0.5000 0.5000 0.5000  4 S 2.23, 2 P 2.25
3 P 0.5000 0.5000 0.0000  2 Si 2.25
4 S 0.0000 0.5000 0.5000  2 Si 2.23
5 S 0.5000 0.0000 0.5000  2 Si 2.23

Calculated values
ΔE_f (raw) = -0.29 eV/atom
DFT total energy = -55.3 eV per formula unit
DOS(E_F) = 1.66 states/eV/f.u.
space group = P4/mmm, No. 123

Record 2
Entry from Alexandria: a PBEsol-optimized structure of SiPSe2S (SCAN).

Cell lengths 4.7821, 4.7821, 4.4560 Å; angles 90.00, 90.00, 90.00 degrees
Last column: nearest neighbours and their distance in Å.
Sites, in units of the cell vectors:
1 Si 0.0000 0.0000 0.0000  8 Se 3.27, 4 P 3.38
2 P 0.5000 0.5000 0.0000  2 S 2.23
3 Se 0.0000 0.5000 0.5000  2 S 2.39
4 Se 0.5000 0.0000 0.5000  2 S 2.39
5 S 0.5000 0.5000 0.5000  2 P 2.23, 4 Se 2.39

Calculated values
ΔE_f (raw) = 0.99 eV/atom
DFT total energy = -65.2 eV per formula unit
DOS(E_F) = 2.67 states/eV/f.u.
space group = P4/mmm, No. 123

Record 3
Entry from Alexandria: a PBEsol-optimized structure of ZrSiPS2 (SCAN).

Cell lengths 4.3920, 4.3920, 4.5206 Å; angles 90.00, 90.00, 90.00 degrees
Last column: nearest neighbours and their distance in Å.
Sites, in units of the cell vectors:
1 Zr 0.0000 0.0000 0.0000  4 P 3.11, 8 S 3.15
2 Si 0.5000 0.5000 0.5000  4 S 2.20, 2 P 2.26
3 P 0.5000 0.5000 0.0000  2 Si 2.26
4 S 0.0000 0.5000 0.5000  2 Si 2.20
5 S 0.5000 0.0000 0.5000  2 Si 2.20

Calculated values
ΔE_f (raw) = -0.10 eV/atom
DFT total energy = -70.9 eV per formula unit
DOS(E_F) = 2.15 states/eV/f.u.
space group = P4/mmm, No. 123